1.
ZnCdGa2Ru | PBE-GGA | relaxed

Computed properties:
Space group = No. 123
Formation energy = 0.21 eV/atom

Unit cell a=4.7515 b=4.7515 c=5.2935 alpha=90.00 beta=90.00 gamma=90.00
Sites, in units of the cell vectors:
Zn 0.0000 0.0000 0.0000
Cd 0.5000 0.5000 0.0000
Ga 0.0000 0.5000 0.5000
Ga 0.5000 0.0000 0.5000
Ru 0.5000 0.5000 0.5000

2.
LaAgRu2O | PBE-GGA | relaxed

Computed properties:
Space group = No. 123
E_form (uncorrected) = 1.511 eV per atom

Unit cell a=4.7558 b=4.7558 c=5.8839 alpha=90.00 beta=90.00 gamma=90.00
Sites, in units of the cell vectors:
La 0.0000 0.0000 0.0000
Ag 0.0000 0.0000 0.5000
Ru 0.0000 0.5000 0.5000
Ru 0.5000 0.0000 0.5000
O 0.5000 0.5000 0.0000

3.
La2ZnPb | PBE-GGA | relaxed

Computed properties:
Space group = No. 99
Formation energy = -0.16 eV/atom

Unit cell a=3.6303 b=3.6303 c=9.2191 alpha=90.00 beta=90.00 gamma=90.00
Sites, in units of the cell vectors:
La 0.0000 0.0000 0.0000
La 0.5000 0.5000 0.3365
Zn 0.5000 0.5000 0.7871
Pb 0.0000 0.0000 0.6004

4.
Co2TcRh | PBE-GGA | relaxed

Computed properties:
Space group = No. 47
ΔE to the lowest computed polymorph = 108 kJ/mol of formula units
Formation energy = 0.31 eV/atom

Unit cell a=2.7039 b=4.3863 c=4.4554 alpha=90.00 beta=90.00 gamma=90.00
Sites, in units of the cell vectors:
Co 0.0000 0.0000 0.0000
Co 0.5000 0.0000 0.5000
Tc 0.0000 0.5000 0.5000
Rh 0.5000 0.5000 0.0000

5.
Li5TlHg3 | PBE-GGA | relaxed

Computed properties:
Space group = No. 193
Formation energy = -0.28 eV/atom

Unit cell a=8.2193 b=8.2193 c=6.0890 alpha=90.00 beta=90.00 gamma=120.00
Sites, in units of the cell vectors:
Li 0.0000 0.3082 0.2500
Li 0.0000 0.6918 0.7500
Li 0.3082 0.0000 0.2500
Li 0.3082 0.3082 0.7500
Li 0.3333 0.6667 0.0000
Li 0.3333 0.6667 0.5000
Li 0.6667 0.3333 0.0000
Li 0.6667 0.3333 0.5000
Li 0.6918 0.0000 0.7500
Li 0.6918 0.6918 0.2500
Tl 0.0000 0.0000 0.0000
Tl 0.0000 0.0000 0.5000
Hg 0.0000 0.3679 0.7500
Hg 0.0000 0.6321 0.2500
Hg 0.3679 0.0000 0.7500
Hg 0.3679 0.3679 0.2500
Hg 0.6321 0.0000 0.2500
Hg 0.6321 0.6321 0.7500

6.
KAs5 | PBE-GGA | relaxed

Computed properties:
Space group = No. 65
ΔE to the lowest computed polymorph = 61 kJ/mol of formula units
Formation energy = 0.08 eV/atom

Unit cell a=8.0593 b=8.0593 c=3.6172 alpha=90.00 beta=90.00 gamma=138.66
Sites, in units of the cell vectors:
K 0.0000 0.0000 0.0000
As 0.2522 0.7478 0.5000
As 0.3692 0.6308 0.0000
As 0.5000 0.5000 0.5000
As 0.6308 0.3692 0.0000
As 0.7478 0.2522 0.5000

7.
NdZrAl2 | PBE-GGA | relaxed

Computed properties:
Space group = No. 123
ΔE to the lowest computed polymorph = 41 kJ/mol of formula units
Formation energy = -0.23 eV/atom

Unit cell a=5.3176 b=5.3176 c=3.1656 alpha=90.00 beta=90.00 gamma=90.00
Sites, in units of the cell vectors:
Nd 0.0000 0.0000 0.0000
Zr 0.5000 0.5000 0.0000
Al 0.0000 0.5000 0.5000
Al 0.5000 0.0000 0.5000

8.
La4NdIr | PBE-GGA | relaxed

Computed properties:
Space group = No. 15
Formation energy = -0.26 eV/atom

Unit cell a=9.3837 b=9.3837 c=7.3225 alpha=105.73 beta=105.73 gamma=42.72
Sites, in units of the cell vectors:
La 0.0002 0.1941 0.0150
La 0.9998 0.8059 0.9850
La 0.1941 0.0002 0.5150
La 0.2146 0.4111 0.3734
La 0.4111 0.2146 0.8734
La 0.5889 0.7854 0.1266
La 0.7854 0.5889 0.6266
La 0.8059 0.9998 0.4850
Nd 0.4489 0.5511 0.7500
Nd 0.5511 0.4489 0.2500
Ir 0.0000 0.5000 0.0000
Ir 0.5000 0.0000 0.5000

9.
NbCuAu2 | PBE-GGA | relaxed

Computed properties:
Space group = No. 225
ΔE to the lowest computed polymorph = 30 kJ/mol of formula units
Formation energy = 0.00 eV/atom

Unit cell a=4.5613 b=4.5613 c=4.5613 alpha=60.00 beta=60.00 gamma=60.00
Sites, in units of the cell vectors:
Nb 0.0000 0.0000 0.0000
Cu 0.5000 0.5000 0.5000
Au 0.2500 0.2500 0.2500
Au 0.7500 0.7500 0.7500

10.
AuSe2Br8 | PBE-GGA | relaxed

Computed properties:
Space group = No. 12
E_form (uncorrected) = -0.072 eV per atom

Unit cell a=8.2347 b=8.2347 c=7.9344 alpha=100.08 beta=100.08 gamma=53.19
Sites, in units of the cell vectors:
Au 0.0000 0.0000 0.0000
Se 0.1853 0.1853 0.6195
Se 0.8147 0.8147 0.3805
Br 0.1960 0.7291 0.1994
Br 0.2709 0.8040 0.8006
Br 0.2781 0.2781 0.4098
Br 0.2956 0.2956 0.8711
Br 0.7044 0.7044 0.1289
Br 0.7219 0.7219 0.5902
Br 0.7291 0.1960 0.1994
Br 0.8040 0.2709 0.8006

11.
ScFe3Pd | PBE-GGA | relaxed

Computed properties:
Space group = No. 221
ΔE to the lowest computed polymorph = 0 kJ/mol of formula units
Formation energy = 0.88 eV/atom

Unit cell a=4.6253 b=4.6253 c=4.6253 alpha=90.00 beta=90.00 gamma=90.00
Sites, in units of the cell vectors:
Sc 0.0000 0.0000 0.0000
Fe 0.0000 0.5000 0.5000
Fe 0.5000 0.0000 0.5000
Fe 0.5000 0.5000 0.0000
Pd 0.5000 0.5000 0.5000

12.
Na2PaRuO8 | PBE-GGA | relaxed

Computed properties:
Space group = No. 10
E_form (uncorrected) = -1.584 eV per atom

Unit cell a=5.1474 b=6.5394 c=5.1720 alpha=90.00 beta=92.28 gamma=90.00
Sites, in units of the cell vectors:
Na 0.0000 0.2408 0.0000
Na 0.0000 0.7592 0.0000
Pa 0.5000 0.5000 0.5000
Ru 0.5000 0.0000 0.5000
O 0.2286 0.5000 0.2284
O 0.2487 0.0000 0.2487
O 0.3262 0.2221 0.6722
O 0.3262 0.7779 0.6722
O 0.6738 0.2221 0.3278
O 0.6738 0.7779 0.3278
O 0.7513 0.0000 0.7513
O 0.7714 0.5000 0.7716

D(E_F) readings, ordered: 1.91, 5.39, 4.22, 8.05, 7.08, 2.45, 3.32, 15.29, 1.68, 2.35, 8.16, 6.00 states/eV per cell